Record 1
Below is an optimized crystal structure of CaNiP2O, with properties calculated at the PBE with a Hubbard U level.

Excess energy over the best structure of this formula in the dataset: 987 meV per atom
E_tot: -3.18 eV per atom

The structure in CIF format:
```
data_CaNiP2O
_cell_length_a 5.3143
_cell_length_b 5.3143
_cell_length_c 4.1578
_cell_angle_alpha 90.00
_cell_angle_beta 90.00
_cell_angle_gamma 90.00
_space_group_name_H-M_alt 'P 1'
_space_group_IT_number 1
loop_
_space_group_symop_operation_xyz
'x,y,z'
loop_
_atom_site_label
_atom_site_type_symbol
_atom_site_fract_x
_atom_site_fract_y
_atom_site_fract_z
O1 O 0.0000 0.0000 0.5000
Ni1 Ni 0.5000 0.5000 0.5000
Ca1 Ca 0.0000 0.0000 0.0000
P1 P 0.0000 0.5000 0.0000
P2 P 0.5000 0.0000 0.0000
```



Record 2
Below is an optimized crystal structure of CaNiP4O12, with properties calculated at the PBE with a Hubbard U level.

E_tot: -7.00 eV per atom

The structure in CIF format:
```
data_CaNiP4O12
_cell_length_a 7.5356
_cell_length_b 7.5356
_cell_length_c 9.9708
_cell_angle_alpha 67.74
_cell_angle_beta 67.74
_cell_angle_gamma 71.22
_space_group_name_H-M_alt 'P 1'
_space_group_IT_number 1
loop_
_space_group_symop_operation_xyz
'x,y,z'
loop_
_atom_site_label
_atom_site_type_symbol
_atom_site_fract_x
_atom_site_fract_y
_atom_site_fract_z
P1 P 0.2770 0.7191 0.4708
P2 P 0.6951 0.6859 0.3047
P3 P 0.3141 0.3049 0.1953
P4 P 0.3049 0.3141 0.6953
P5 P 0.7191 0.2770 0.9708
P6 P 0.2809 0.7230 0.0292
P7 P 0.6859 0.6951 0.8047
P8 P 0.7230 0.2809 0.5292
O1 O 0.8673 0.7053 0.8321
O2 O 0.7977 0.3216 0.0719
O3 O 0.5049 0.7452 0.9453
O4 O 0.2023 0.6784 0.9281
O5 O 0.8972 0.1747 0.5833
O6 O 0.1830 0.3504 0.8428
O7 O 0.1327 0.2947 0.1679
O8 O 0.2947 0.1327 0.6679
O9 O 0.7452 0.5049 0.4453
O10 O 0.4951 0.2548 0.0547
O11 O 0.6784 0.2023 0.4281
O12 O 0.3029 0.5315 0.1728
O13 O 0.3504 0.1830 0.3428
O14 O 0.1747 0.8972 0.0833
O15 O 0.7053 0.8673 0.3321
O16 O 0.6496 0.8170 0.6572
O17 O 0.8170 0.6496 0.1572
O18 O 0.3216 0.7977 0.5719
O19 O 0.6971 0.4685 0.8272
O20 O 0.5315 0.3029 0.6728
O21 O 0.1028 0.8253 0.4167
O22 O 0.8253 0.1028 0.9167
O23 O 0.4685 0.6971 0.3272
O24 O 0.2548 0.4951 0.5547
Ni1 Ni 0.0000 0.5000 0.0000
Ni2 Ni 0.5000 0.0000 0.5000
Ca1 Ca 0.0502 0.9498 0.7500
Ca2 Ca 0.9498 0.0502 0.2500
```



Record 3
Below is an optimized crystal structure of CaNiP2O, with properties calculated at the PBE with a Hubbard U level.

Excess energy over the best structure of this formula in the dataset: 0 meV per atom
E_tot: -4.16 eV per atom

The structure in CIF format:
```
data_CaNiP2O
_cell_length_a 4.6099
_cell_length_b 4.6099
_cell_length_c 3.8702
_cell_angle_alpha 90.00
_cell_angle_beta 90.00
_cell_angle_gamma 90.00
_space_group_name_H-M_alt 'P 1'
_space_group_IT_number 1
loop_
_space_group_symop_operation_xyz
'x,y,z'
loop_
_atom_site_label
_atom_site_type_symbol
_atom_site_fract_x
_atom_site_fract_y
_atom_site_fract_z
Ni1 Ni 0.0000 0.0000 0.0000
Ca1 Ca 0.5000 0.5000 0.5000
P1 P 0.5000 0.0000 0.0000
P2 P 0.0000 0.5000 0.0000
O1 O 0.0000 0.0000 0.5000
```



Record 4
Below is an optimized crystal structure of CaNiPO2, with properties calculated at the PBE with a Hubbard U level.

Excess energy over the best structure of this formula in the dataset: 921 meV per atom
E_tot: -3.58 eV per atom

The structure in CIF format:
```
data_CaNiPO2
_cell_length_a 4.2232
_cell_length_b 4.2232
_cell_length_c 5.7901
_cell_angle_alpha 90.00
_cell_angle_beta 90.00
_cell_angle_gamma 90.00
_space_group_name_H-M_alt 'P 1'
_space_group_IT_number 1
loop_
_space_group_symop_operation_xyz
'x,y,z'
loop_
_atom_site_label
_atom_site_type_symbol
_atom_site_fract_x
_atom_site_fract_y
_atom_site_fract_z
Ni1 Ni 0.5000 0.5000 0.5000
Ca1 Ca 0.0000 0.0000 0.0000
P1 P 0.0000 0.0000 0.5000
O1 O 0.5000 0.0000 0.0000
O2 O 0.0000 0.5000 0.0000
```



Record 5
Below is an optimized crystal structure of CaNiPO2, with properties calculated at the PBE with a Hubbard U level.

Excess energy over the best structure of this formula in the dataset: 0 meV per atom
E_tot: -4.50 eV per atom

The structure in CIF format:
```
data_CaNiPO2
_cell_length_a 4.0306
_cell_length_b 4.0306
_cell_length_c 4.2496
_cell_angle_alpha 90.00
_cell_angle_beta 90.00
_cell_angle_gamma 90.00
_space_group_name_H-M_alt 'P 1'
_space_group_IT_number 1
loop_
_space_group_symop_operation_xyz
'x,y,z'
loop_
_atom_site_label
_atom_site_type_symbol
_atom_site_fract_x
_atom_site_fract_y
_atom_site_fract_z
Ni1 Ni 0.0000 0.0000 0.0000
O1 O 0.0000 0.5000 0.0000
O2 O 0.5000 0.0000 0.0000
Ca1 Ca 0.5000 0.5000 0.5000
P1 P 0.0000 0.0000 0.5000
```



Record 6
Below is an optimized crystal structure of CaNi2PO, with properties calculated at the PBE with a Hubbard U level.

E_tot: -3.38 eV per atom

The structure in CIF format:
```
data_CaNi2PO
_cell_length_a 3.8795
_cell_length_b 4.8769
_cell_length_c 3.8795
_cell_angle_alpha 90.00
_cell_angle_beta 90.00
_cell_angle_gamma 90.00
_space_group_name_H-M_alt 'P 1'
_space_group_IT_number 1
loop_
_space_group_symop_operation_xyz
'x,y,z'
loop_
_atom_site_label
_atom_site_type_symbol
_atom_site_fract_x
_atom_site_fract_y
_atom_site_fract_z
O1 O 0.0000 0.0000 0.0000
Ca1 Ca 0.5000 0.5000 0.5000
Ni1 Ni 0.0000 0.0000 0.5000
Ni2 Ni 0.5000 0.0000 0.0000
P1 P 0.0000 0.5000 0.0000
```



| no. | N(E_F) (states/eV per cell) |
| --- | --- |
| 1 | 5.17 |
| 2 | 0.00 |
| 3 | 3.04 |
| 4 | 4.02 |
| 5 | 3.05 |
| 6 | 2.60 |